BaSr14Ca | PBE | relaxed

Output
Calculated density ... 2.676 Mg/m³
Energy relative to the elements ... 0.00 eV/atom
Space-group type ... P4/mmm (123)

Cell: 8.5544 8.5544 11.9057 Å, 90.00 90.00 90.00°
Atoms (fractional coordinates):
Sr 0.1283 0.1283 0.7492
Sr 0.8750 0.8750 0.0000
Sr 0.6218 0.1283 0.2508
Sr 0.3750 0.8750 0.0000
Sr 0.1283 0.6218 0.2508
Sr 0.3750 0.8750 0.5000
Sr 0.3750 0.3750 0.0000
Sr 0.1283 0.6218 0.7492
Sr 0.6217 0.6217 0.7492
Sr 0.6217 0.6217 0.2508
Sr 0.8750 0.3750 0.0000
Sr 0.1283 0.1283 0.2508
Sr 0.6218 0.1283 0.7492
Sr 0.8750 0.3750 0.5000
Ba 0.8750 0.8750 0.5000
Ca 0.3750 0.3750 0.5000